The following is a DFT calculation (PBE) of AcLaTm2Hg4 after structural relaxation.

## Properties
Raw total energy: -2.84 eV/atom
Energy relative to the elements: -0.440 eV/atom

Cell: 9.5220 9.5220 9.5220 Å, 33.02 33.02 33.02°
Last column: nearest neighbours and their distance in Å.
Fractional coordinates of all 8 atoms:
Ac 0.0000 0.0000 0.0000  8 Hg 3.36-3.41
La 0.5000 0.5000 0.5000  8 Hg 3.25-3.31
Tm 0.2474 0.2474 0.2474  8 Hg 3.27-3.56
Tm 0.7526 0.7526 0.7526  8 Hg 3.27-3.56
Hg 0.1264 0.1264 0.1264  4 Tm 3.27-3.31, 3 La 3.31, 1 Ac 3.41
Hg 0.3794 0.3794 0.3794  1 La 3.25, 4 Tm 3.30-3.56, 3 Ac 3.36
Hg 0.6206 0.6206 0.6206  1 La 3.25, 4 Tm 3.30-3.56, 3 Ac 3.36
Hg 0.8736 0.8736 0.8736  4 Tm 3.27-3.31, 3 La 3.31, 1 Ac 3.41